[1]
First-principles (GGA-PBE) data for a relaxed structure of RbMnBr4, as listed in the Alexandria database.

Properties
SG   I4_1/amd (141)
VASP energy   -45.4 eV per cell
Density of states at the Fermi level   1.07 states/eV/atom
V   44.20 Å³ per atom

Unit cell a=8.899 b=8.899 c=8.899 alpha=75.22 beta=75.21 gamma=119.32
Site moments in Bohr magnetons follow the coordinates.
Fractional positions:
Rb 0.875 0.625 0.250  0.00
Rb 0.125 0.375 0.750  0.00
Mn 0.625 0.875 0.750  3.64
Mn 0.375 0.125 0.250  3.64
Br 0.287 0.707 0.920  0.01
Br 0.627 0.707 0.580  0.01
Br 0.207 0.127 0.080  0.01
Br 0.713 0.293 0.080  0.01
Br 0.207 0.787 0.420  0.01
Br 0.793 0.873 0.920  0.01
Br 0.373 0.293 0.420  0.01
Br 0.793 0.213 0.580  0.01



[2]
First-principles (GGA-PBE) data for a relaxed structure of RbMn2Br5, as listed in the Alexandria database.

Properties
SG   Cmcm (63)
VASP energy   -70.7 eV per cell
Density of states at the Fermi level   0.00 states/eV/atom
V   41.18 Å³ per atom

Unit cell a=5.785 b=9.619 c=12.416 alpha=90.00 beta=90.00 gamma=107.50
Site moments in Bohr magnetons follow the coordinates.
Fractional positions:
Rb 0.929 0.859 0.750  0.00
Rb 0.071 0.141 0.250  0.00
Mn 0.214 0.427 0.590  4.37
Mn 0.786 0.573 0.410  4.37
Mn 0.786 0.573 0.090  4.37
Mn 0.214 0.427 0.910  4.37
Br 0.695 0.389 0.250  0.05
Br 0.305 0.611 0.750  0.05
Br 0.276 0.552 0.090  0.10
Br 0.724 0.448 0.910  0.10
Br 0.724 0.448 0.590  0.10
Br 0.276 0.552 0.410  0.10
Br 0.082 0.165 0.579  0.07
Br 0.918 0.835 0.421  0.07
Br 0.082 0.165 0.921  0.07
Br 0.918 0.835 0.079  0.07



Which formula does entry 1 have?
RbMnBr4



Which of these has the highest VASP energy?
RbMnBr4